[1]
Compound: CrBiO3
Source: Alexandria via LeMat-Bulk
Functional: PBEsol
Structure: relaxed

Calculated density (g cm⁻³): 8.89
Formation energy without anion corrections (eV/atom): -1.572

```
CrBiO3
1.0
4.690 -2.706 0.000
4.690 2.706 0.000
-2.991 0.000 9.091
Cr Bi O
4 4 12
Cartesian
2.345 1.353 0.000
2.447 1.448 6.818
0.850 -1.353 4.546
3.943 -1.448 2.273
2.344 1.448 3.406
5.542 1.448 1.140
0.848 -1.448 7.951
4.046 -1.448 5.686
1.152 1.650 8.312
-1.129 0.155 7.630
0.366 -0.155 3.084
3.742 1.650 5.325
1.367 0.216 5.676
2.862 -0.216 1.130
3.527 0.216 7.961
5.023 -0.216 3.416
2.648 -1.650 3.766
6.024 0.155 6.007
7.519 -0.155 1.461
5.237 -1.650 0.780
```

[2]
Compound: CrBiO3
Source: Alexandria via LeMat-Bulk
Functional: PBEsol
Structure: relaxed

Calculated density (g cm⁻³): 8.95
Formation energy without anion corrections (eV/atom): -1.583

```
CrBiO3
1.0
5.556 0.000 0.000
0.000 7.684 0.000
0.000 0.000 5.373
Cr Bi O
4 4 12
Cartesian
0.000 0.000 0.000
0.000 3.842 0.000
2.778 0.000 2.687
2.778 3.842 2.687
0.297 1.921 2.631
2.481 5.763 5.318
3.075 1.921 0.055
5.259 5.763 2.742
0.132 5.763 0.468
1.131 4.167 3.763
1.131 7.358 3.763
1.646 0.325 1.076
1.646 3.516 1.076
2.646 1.921 3.155
2.910 5.763 2.219
3.909 4.167 4.297
3.909 7.358 4.297
4.424 0.325 1.611
4.424 3.516 1.611
5.423 1.921 4.905
```

[3]
Compound: CrBiO3
Source: Alexandria via LeMat-Bulk
Functional: PBEsol
Structure: relaxed

Calculated density (g cm⁻³): 8.82
Formation energy without anion corrections (eV/atom): -1.581

```
CrBiO3
1.0
2.753 1.590 4.432
-2.753 1.590 4.432
0.000 -3.179 4.432
Cr Bi O
2 2 6
Cartesian
0.000 0.000 0.000
0.000 0.000 6.648
0.000 0.000 3.059
0.000 0.000 9.707
-1.644 0.502 5.703
-1.110 -1.088 7.919
0.387 -1.674 5.703
-0.387 1.505 7.919
1.256 1.173 5.703
1.497 -0.417 7.919
```

[4]
Compound: CrBiO4
Source: Alexandria via LeMat-Bulk
Functional: PBEsol
Structure: relaxed

Calculated density (g cm⁻³): 6.42
Formation energy without anion corrections (eV/atom): -1.596

```
CrBiO4
1.0
-3.627 3.627 3.195
3.627 -3.627 3.195
3.627 3.627 -3.195
Cr Bi O
2 2 8
Cartesian
3.627 1.814 0.799
0.000 1.814 2.396
3.627 -1.814 2.396
0.000 5.441 0.799
2.334 1.814 -0.304
4.921 1.814 -0.304
0.000 0.520 1.294
3.627 0.520 1.901
0.000 3.107 1.294
3.627 3.107 1.901
-1.294 1.814 3.499
1.294 1.814 3.499
```

[5]
Compound: CrBiO4
Source: Alexandria via LeMat-Bulk
Functional: PBEsol
Structure: relaxed

Calculated density (g cm⁻³): 6.77
Formation energy without anion corrections (eV/atom): -1.573

```
CrBiO4
1.0
6.780 0.000 0.000
0.000 7.157 0.000
-4.919 0.000 6.571
Cr Bi O
4 4 16
Cartesian
-0.158 1.163 1.968
-2.617 2.415 5.254
4.478 4.742 1.318
2.019 5.994 4.603
0.883 4.633 1.396
-1.577 6.102 4.682
3.438 1.055 1.890
0.978 2.524 5.175
-1.148 5.087 2.555
-3.607 5.649 5.841
-1.408 0.737 3.093
-3.867 2.841 6.379
-1.538 3.653 4.952
0.922 7.082 1.666
-1.854 1.057 5.839
0.605 2.522 2.554
1.256 4.636 4.018
3.715 6.100 0.732
0.940 0.075 4.905
3.399 3.504 1.619
5.728 4.316 0.193
3.269 6.420 3.478
5.468 1.508 0.731
3.009 2.070 4.016
```

[6]
Compound: CrBi14O24
Source: Alexandria via LeMat-Bulk
Functional: PBEsol
Structure: relaxed

Calculated density (g cm⁻³): 8.79
Formation energy without anion corrections (eV/atom): -1.319

```
CrBi14O24
1.0
8.638 0.000 0.000
0.065 8.655 0.000
4.303 4.279 8.492
Cr Bi O
1 14 24
Cartesian
0.000 0.000 0.000
3.466 6.682 5.850
2.639 9.434 3.046
1.874 3.666 0.248
5.408 10.247 5.855
4.414 4.144 2.987
3.930 6.673 0.256
6.934 5.093 5.843
6.220 7.494 3.034
4.884 1.612 0.221
8.695 8.457 5.984
7.779 2.344 3.030
6.919 4.606 0.215
10.485 3.150 5.900
9.720 5.932 3.077
2.291 4.832 4.447
0.281 1.594 0.366
1.217 7.693 0.688
4.344 4.095 6.839
4.393 8.498 6.700
3.735 10.647 4.399
2.854 5.239 1.617
3.307 2.537 1.572
5.109 6.240 4.372
4.434 8.476 2.229
7.154 9.542 7.370
7.617 6.850 7.375
6.652 9.122 4.544
6.534 3.434 4.371
5.503 5.712 1.588
6.000 3.055 1.563
8.699 4.127 6.734
8.052 6.340 4.543
9.816 10.014 7.387
10.317 7.324 7.372
7.183 8.236 0.498
9.451 10.572 4.544
8.765 4.117 2.246
10.864 7.751 4.481
```

[7]
Compound: CrBi2O
Source: Alexandria via LeMat-Bulk
Functional: PBEsol
Structure: relaxed

Calculated density (g cm⁻³): 9.34
Formation energy without anion corrections (eV/atom): 0.268

```
CrBi2O
1.0
-3.457 3.457 3.616
3.457 -3.457 3.616
3.457 3.457 -3.616
Cr Bi O
2 4 2
Cartesian
0.000 0.000 0.000
0.000 3.457 1.808
1.728 -1.312 2.712
2.145 1.728 0.904
1.728 4.769 -0.904
1.312 1.728 4.520
3.457 0.000 1.808
0.000 0.000 3.616
```

[8]
Compound: CrBiPO2
Source: Alexandria via LeMat-Bulk
Functional: PBEsol
Structure: relaxed

Calculated density (g cm⁻³): 5.94
Formation energy without anion corrections (eV/atom): 0.266

```
CrBiPO2
1.0
4.092 0.000 0.000
0.000 4.092 0.000
0.000 0.000 5.405
Cr Bi P O
1 1 1 2
Cartesian
0.000 0.000 0.000
2.046 2.046 2.702
2.046 2.046 0.000
0.000 2.046 2.702
2.046 0.000 2.702
```